Compound: Tb5Dy3Sc4
Source: the Alexandria database
Functional: PBE
Structure: optimized geometry

It has space group C2/m (No. 12), with a = 11.828 Å, b = 5.748 Å, c = 12.147 Å, α = 90.00°, β = 118.34° and γ = 90.00°. The asymmetric unit holds Tb at (0.000, 0.000, 0.000), Tb at (0.060, 0.000, 0.337), Tb at (0.249, 0.000, 0.678), Dy at (0.000, 0.500, 0.000), Dy at (0.212, 0.000, 0.921), Sc at (0.127, 0.500, 0.506) and Sc at (0.130, 0.500, 0.771).

As for the formation energy: 0.3008 eV per atom.